A relaxed AlCrCl2 crystal. Source: the Alexandria database, functional PBE.

Cell: 3.869 3.900 5.809 Å, 90.00 90.00 90.00°
Space group Pmm2 (No. 25)
Inequivalent atoms, fractional coordinates:
1 Al 0.000 0.000 0.000
2 Cr 0.500 0.500 0.341
3 Cl 0.000 0.000 0.560
4 Cl 0.500 0.500 0.906

## Properties
Polymorph energy (0 for the lowest one) = 448 meV per atom

A relaxed TlZn2Bi2 crystal. Source: the Alexandria database, functional PBE.

Cell: 4.887 4.887 11.867 Å, 90.00 90.00 90.00°
Space group I4/mmm (No. 139)
Inequivalent atoms, fractional coordinates:
1 Tl 0.000 0.000 0.000
2 Zn 0.000 0.000 0.397
3 Bi 0.000 0.500 0.250

## Properties
Energy of formation = 0.0830 eV/atom

A relaxed Tm6Si2Se3S crystal. Source: the Alexandria database, functional PBE.

Cell: 17.587 4.013 8.078 Å, 90.00 103.94 90.00°
Space group C2/m (No. 12)
Inequivalent atoms, fractional coordinates:
1 Tm 0.006 0.000 0.243
2 Tm 0.164 0.500 0.095
3 Tm 0.170 0.500 0.574
4 Si 0.166 0.000 0.331
5 Se 0.000 0.500 0.500
6 Se 0.164 0.000 0.835
7 S 0.000 0.500 0.000

## Properties
Calculated total energy = -140.166 eV/cell

A relaxed Ba2CoP crystal. Source: the Alexandria database, functional PBE.

Cell: 4.6767 4.6767 23.8133 Å, 90.00 90.00 120.00°
Space group R-3m (No. 166, hexagonal axes)
Inequivalent atoms, fractional coordinates:
1 Ba 0.0000 0.0000 0.2386
2 Co 0.0000 0.0000 0.0000
3 P 0.0000 0.0000 0.5000

## Properties
Energy of formation = 0.0196 eV/atom

A relaxed Mg4In4Hg crystal. Source: the Alexandria database, functional PBE.

Cell: 9.585 9.585 4.661 Å, 90.00 90.00 90.00°
Space group I4/mmm (No. 139)
Inequivalent atoms, fractional coordinates:
1 Mg 0.000 0.333 0.000
2 In 0.169 0.169 0.500
3 Hg 0.000 0.000 0.000

## Properties
Energy of formation = -0.0623 eV/atom
Polymorph energy (0 for the lowest one) = 9 meV per atom

A relaxed LaIrRh2 crystal. Source: the Alexandria database, functional PBE.

Cell: 6.622 6.622 6.622 Å, 90.00 90.00 90.00°
Space group Fm-3m (No. 225)
Inequivalent atoms, fractional coordinates:
1 La 0.000 0.000 0.000
2 Ir 0.000 0.000 0.500
3 Rh 0.250 0.250 0.250

## Properties
Energy of formation = -0.0556 eV/atom
Polymorph energy (0 for the lowest one) = 444 meV per atom

A relaxed Re3Os crystal. Source: the Alexandria database, functional PBE.

Cell: 9.144 2.755 4.784 Å, 90.00 99.84 90.00°
Space group C2/m (No. 12)
Inequivalent atoms, fractional coordinates:
1 Re 0.000 0.000 0.000
2 Re 0.248 0.000 0.747
3 Os 0.000 0.500 0.500

## Properties
Energy of formation = 0.0578 eV/atom

A relaxed Y3TaO crystal. Source: the Alexandria database, functional PBE.

Cell: 4.763 4.763 4.763 Å, 90.00 90.00 90.00°
Space group Pm-3m (No. 221)
Inequivalent atoms, fractional coordinates:
1 Y 0.000 0.000 0.500
2 Ta 0.500 0.500 0.500
3 O 0.000 0.000 0.000

## Properties
Polymorph energy (0 for the lowest one) = 0 meV per atom

A relaxed HfAgPdAu crystal. Source: the Alexandria database, functional PBE.

Cell: 6.586 6.586 6.586 Å, 90.00 90.00 90.00°
Space group F-43m (No. 216)
Inequivalent atoms, fractional coordinates:
1 Hf 0.000 0.000 0.000
2 Ag 0.000 0.000 0.500
3 Pd 0.250 0.250 0.750
4 Au 0.250 0.250 0.250

## Properties
Energy of formation = -0.4128 eV/atom

A relaxed HfScTi2 crystal. Source: the Alexandria database, functional PBE.

Cell: 4.337 4.337 4.260 Å, 90.00 90.00 90.00°
Space group P4/mmm (No. 123)
Inequivalent atoms, fractional coordinates:
1 Hf 0.000 0.000 0.000
2 Sc 0.500 0.500 0.000
3 Ti 0.000 0.500 0.500

## Properties
Energy of formation = 0.1255 eV/atom
Polymorph energy (0 for the lowest one) = 23 meV per atom

A relaxed BaBiS2N crystal. Source: the Alexandria database, functional PBE.

Cell: 5.817 5.817 4.656 Å, 90.00 90.00 90.00°
Space group P4/mmm (No. 123)
Inequivalent atoms, fractional coordinates:
1 Ba 0.000 0.000 0.000
2 Bi 0.500 0.500 0.500
3 S 0.000 0.500 0.000
4 N 0.000 0.000 0.500

## Properties
Polymorph energy (0 for the lowest one) = 1128 meV per atom

A relaxed Be3IrOs crystal. Source: the Alexandria database, functional PBE.

Cell: 4.060 4.060 4.060 Å, 90.00 90.00 90.00°
Space group Pm-3m (No. 221)
Inequivalent atoms, fractional coordinates:
1 Be 0.000 0.000 0.500
2 Ir 0.500 0.500 0.500
3 Os 0.000 0.000 0.000

## Properties
Energy of formation = 0.9801 eV/atom
Polymorph energy (0 for the lowest one) = 80 meV per atom

A relaxed HfNbP2S crystal. Source: the Alexandria database, functional PBE.

Cell: 4.606 4.606 5.484 Å, 90.00 90.00 90.00°
Space group P4/mmm (No. 123)
Inequivalent atoms, fractional coordinates:
1 Hf 0.000 0.000 0.000
2 Nb 0.000 0.000 0.500
3 P 0.000 0.500 0.500
4 S 0.500 0.500 0.000

## Properties
Polymorph energy (0 for the lowest one) = 267 meV per atom

A relaxed Te2MoRu crystal. Source: the Alexandria database, functional PBE.

Cell: 3.182 3.182 8.492 Å, 90.00 90.00 90.00°
Space group P4mm (No. 99)
Inequivalent atoms, fractional coordinates:
1 Te 0.000 0.000 0.000
2 Te 0.500 0.500 0.412
3 Mo 0.000 0.000 0.604
4 Ru 0.500 0.500 0.820

## Properties
Polymorph energy (0 for the lowest one) = 86 meV per atom

A relaxed BaHfNb2S crystal. Source: the Alexandria database, functional PBE.

Cell: 4.693 4.693 5.631 Å, 90.00 90.00 90.00°
Space group P4/mmm (No. 123)
Inequivalent atoms, fractional coordinates:
1 Ba 0.000 0.000 0.000
2 Hf 0.500 0.500 0.000
3 Nb 0.000 0.500 0.500
4 S 0.000 0.000 0.500

## Properties
Calculated total energy = -33.885 eV/cell

A relaxed TcAsIr3 crystal. Source: the Alexandria database, functional PBE.

Cell: 4.558 4.558 4.558 Å, 90.00 90.00 90.00°
Space group Pm-3m (No. 221)
Inequivalent atoms, fractional coordinates:
1 Tc 0.000 0.000 0.000
2 As 0.500 0.500 0.500
3 Ir 0.000 0.500 0.500

## Properties
Energy of formation = 1.3809 eV/atom
Polymorph energy (0 for the lowest one) = 0 meV per atom

A relaxed Sc2AlGa crystal. Source: the Alexandria database, functional PBE.

Cell: 4.393 4.393 3.958 Å, 90.00 90.00 90.00°
Space group P4/mmm (No. 123)
Inequivalent atoms, fractional coordinates:
1 Sc 0.000 0.500 0.000
2 Al 0.000 0.000 0.500
3 Ga 0.500 0.500 0.500

## Properties
Energy of formation = -0.5045 eV/atom

A relaxed KLaBr2 crystal. Source: the Alexandria database, functional PBE.

Cell: 3.853 3.853 8.075 Å, 90.00 90.00 90.00°
Space group P4/mmm (No. 123)
Inequivalent atoms, fractional coordinates:
1 K 0.000 0.000 0.000
2 La 0.000 0.000 0.500
3 Br 0.500 0.500 0.277

## Properties
Polymorph energy (0 for the lowest one) = 133 meV per atom

A relaxed TmMgInPd crystal. Source: the Alexandria database, functional PBE.

Cell: 6.950 6.950 6.950 Å, 90.00 90.00 90.00°
Space group F-43m (No. 216)
Inequivalent atoms, fractional coordinates:
1 Tm 0.000 0.000 0.000
2 Mg 0.000 0.000 0.500
3 In 0.250 0.250 0.250
4 Pd 0.250 0.250 0.750

## Properties
Energy of formation = -0.5508 eV/atom

A relaxed HfTi2Re crystal. Source: the Alexandria database, functional PBE.

Cell: 3.217 4.657 9.403 Å, 90.00 90.00 90.00°
Space group Immm (No. 71)
Inequivalent atoms, fractional coordinates:
1 Hf 0.000 0.000 0.000
2 Ti 0.000 0.500 0.221
3 Re 0.000 0.000 0.500

## Properties
Energy of formation = -0.2553 eV/atom
Polymorph energy (0 for the lowest one) = 0 meV per atom